Entry 1:
The following is a GGA-PBEsol calculation of KPAu2 after structural relaxation, from the Alexandria database.

Cell: 5.659 5.659 14.735 Å, 90.00 90.00 90.00°
Sites, in units of the cell vectors:
K1 0.000 0.000 0.000
K2 0.000 0.500 0.250
K3 0.500 0.000 0.750
K4 0.500 0.500 0.500
P1 0.000 0.000 0.500
P2 0.000 0.500 0.750
P3 0.500 0.000 0.250
P4 0.500 0.500 0.000
Au1 0.017 0.250 0.625
Au2 0.250 0.517 0.875
Au3 0.250 0.983 0.375
Au4 0.483 0.250 0.125
Au5 0.517 0.750 0.125
Au6 0.750 0.017 0.375
Au7 0.750 0.483 0.875
Au8 0.983 0.750 0.625

Calculated values
* magnetic moment: 0.00 μB per cell
* space-group type: I-42d (122)
* E_form: -1.26 eV/f.u.
* DFT total energy: -4.007 eV/atom

---

Entry 2:
The following is a GGA-PBEsol calculation of K2P2Au after structural relaxation, from the Alexandria database.

Cell: 6.056 6.056 8.487 Å, 90.00 90.00 90.00°
Sites, in units of the cell vectors:
K1 0.000 0.500 0.250
K2 0.000 0.500 0.750
K3 0.500 0.000 0.250
K4 0.500 0.000 0.750
P1 0.000 0.000 0.117
P2 0.000 0.000 0.883
P3 0.500 0.500 0.383
P4 0.500 0.500 0.617
Au1 0.000 0.000 0.500
Au2 0.500 0.500 0.000

Calculated values
* magnetic moment: 1.91 μB per cell
* space-group type: I4/mmm (139)
* E_form: 0.80 eV/f.u.
* DFT total energy: -3.394 eV/atom
* Fermi-level density of states: 6.619 states/eV/cell

---

What is the formula in the first record?
KPAu2